Here is crystalline La2CoAg at its relaxed geometry from the Alexandria database. Energies are from PBE-GGA.

Fermi-level density of states   1.83 states/eV/f.u.
Space-group type   R3m (160)
Total DFT energy (no corrections)   -5.08 eV/atom
Total moment   0.0 μB/f.u.
Formation enthalpy at 0 K   -12.04 kJ per mole of atoms

Cell: 4.063 4.063 8.001 Å, 75.29 75.29 60.00°
Fractional coordinates of all 4 atoms:
La  0.067  0.067  0.800
La  0.266  0.266  0.201
Co  0.666  0.666  0.001
Ag  0.501  0.501  0.498